No. 1
Density functional theory data (SCAN) for a PBEsol-optimized structure of LiMgRh2.

Cell: 2.6971 4.0966 5.1168 Å, 90.00 102.76 90.00°
Space group P2/m (No. 10)
Inequivalent atoms, fractional coordinates:
Li1 0.0000 0.0000 0.0000
Mg1 0.5000 0.0000 0.5000
Rh1 0.1652 0.5000 0.7718

Magnetization, μB per atom: 0.0000
Calculated volume, A^3/atom: 13.79
Final energy, eV/atom: -19.021
Formation energy, meV/atom: -295
Theoretical density, g cm⁻³: 7.1

No. 2
Density functional theory data (SCAN) for a PBEsol-optimized structure of LiSi2TcRh.

Cell: 4.1720 4.1720 3.7247 Å, 90.00 90.00 90.00°
Space group P4/mmm (No. 123)
Inequivalent atoms, fractional coordinates:
Li1 0.0000 0.0000 0.0000
Si1 0.0000 0.5000 0.0000
Tc1 0.5000 0.5000 0.5000
Rh1 0.0000 0.0000 0.5000

Formation energy without anion corrections, eV/atom: 0.76
Magnetization, μB per atom: 0.1011
Calculated volume, A^3/atom: 12.97
Final energy, eV/atom: -17.489
Theoretical density, g cm⁻³: 6.8

No. 3
Density functional theory data (SCAN) for a PBEsol-optimized structure of LaMg2Cu.

Cell: 7.0481 7.0481 7.0481 Å, 90.00 90.00 90.00°
Space group F-43m (No. 216)
Inequivalent atoms, fractional coordinates:
La1 0.0000 0.0000 0.0000
Mg1 0.0000 0.0000 0.5000
Mg2 0.2500 0.2500 0.7500
Cu1 0.2500 0.2500 0.2500

Magnetization, μB per atom: 0.0002
Calculated volume, A^3/atom: 21.88
Final energy, eV/atom: -17.168
Formation energy, meV/atom: -105
Theoretical density, g cm⁻³: 4.8

No. 4
Density functional theory data (SCAN) for a PBEsol-optimized structure of La2MgSc.

Cell: 5.3258 3.4071 12.9684 Å, 90.00 90.00 90.00°
Space group Amm2 (No. 38)
Inequivalent atoms, fractional coordinates:
La1 0.0000 0.0000 0.0000
La2 0.5000 0.0000 0.3338
Mg1 0.5000 0.0000 0.6064
Sc1 0.0000 0.0000 0.7349

Magnetization, μB per atom: 0.1200
Calculated volume, A^3/atom: 29.41
Final energy, eV/atom: -26.341
Formation energy, meV/atom: 14
Theoretical density, g cm⁻³: 4.9

No. 5
Density functional theory data (SCAN) for a PBEsol-optimized structure of CaRe2Ni.

Cell: 6.1957 6.1957 6.1957 Å, 90.00 90.00 90.00°
Space group Fm-3m (No. 225)
Inequivalent atoms, fractional coordinates:
Ca1 0.0000 0.0000 0.0000
Re1 0.2500 0.2500 0.2500
Ni1 0.0000 0.0000 0.5000

Magnetization, μB per atom: 0.0000
Calculated volume, A^3/atom: 14.86
Final energy, eV/atom: -40.710
Formation energy, meV/atom: 1298
Theoretical density, g cm⁻³: 13.2

No. 6
Density functional theory data (SCAN) for a PBEsol-optimized structure of LiCeF5.

Cell: 14.6844 14.6844 6.5115 Å, 90.00 90.00 90.00°
Space group I4_1/a (No. 88, origin choice 2)
Inequivalent atoms, fractional coordinates:
Li1 0.0739 0.3346 0.2676
Ce1 0.0627 0.4442 0.7430
F1 0.0358 0.4488 0.3691
F2 0.0485 0.3350 0.9802
F3 0.0679 0.1402 0.6789
F4 0.0769 0.0395 0.0039
F5 0.1579 0.0435 0.3953

Formation energy without anion corrections, eV/atom: -3.74
Magnetization, μB per atom: 0.0000
Calculated volume, A^3/atom: 12.54
Final energy, eV/atom: -12.974
Theoretical density, g cm⁻³: 4.6

Copy entry 2 word for word.
Density functional theory data (SCAN) for a PBEsol-optimized structure of LiSi2TcRh.

Cell: 4.1720 4.1720 3.7247 Å, 90.00 90.00 90.00°
Space group P4/mmm (No. 123)
Inequivalent atoms, fractional coordinates:
Li1 0.0000 0.0000 0.0000
Si1 0.0000 0.5000 0.0000
Tc1 0.5000 0.5000 0.5000
Rh1 0.0000 0.0000 0.5000

Formation energy without anion corrections, eV/atom: 0.76
Magnetization, μB per atom: 0.1011
Calculated volume, A^3/atom: 12.97
Final energy, eV/atom: -17.489
Theoretical density, g cm⁻³: 6.8

What is the theoretical density in the first record?
7.1 g cm⁻³

The highest calculated volume belongs to which entry?
La2MgSc

What is the formula in the sixth record?
LiCeF5